Density functional theory data (GGA-PBE) for an optimized crystal structure of Na3BeO3.

Geometry as extended XYZ:
```
7
Lattice="3.6961 0.0000 0.0000 -1.2320 5.5787 0.0000 -1.2320 -2.7893 4.8313" Properties=species:S:1:pos:R:3 pbc="T T T"
Na 0.6846 1.3297 2.3032
Na -0.5474 -1.4596 2.5281
Na -0.5474 2.9192 0.0000
Be 1.3556 0.0000 0.0000
O -1.1673 2.0168 3.4932
O 1.2968 -0.7725 1.3381
O 1.2968 1.5451 0.0000
```

Space group = No. 160
Energy relative to the lowest polymorph listed for this composition = 66.1 meV/atom
Crystal system = trigonal

Density functional theory data (GGA-PBE) for an optimized crystal structure of Na3BeO2.

Geometry as extended XYZ:
```
12
Lattice="-1.0527 0.7091 4.6519 1.9353 -5.8881 1.3354 7.1987 5.3957 -1.6926" Properties=species:S:1:pos:R:3 pbc="T T T"
Na -0.0425 -1.1175 2.6598
Na 0.9251 -4.0616 3.3275
Na 4.2405 3.7551 2.8863
Na 2.8731 -0.5944 0.7408
Na 3.8408 -3.5385 1.4085
Na 5.2081 0.8111 3.5540
Be 0.9676 -2.9441 0.6677
Be 0.0000 0.0000 0.0000
O 6.3160 2.6538 2.5478
O 0.1561 0.9391 3.9143
O 7.9252 -0.7224 0.3804
O 1.7653 -2.4371 1.7470
```

Space group = No. 72
Crystal system = orthorhombic

Density functional theory data (GGA-PBE) for an optimized crystal structure of Na2BeO2.

Geometry as extended XYZ:
```
40
Lattice="-1.8583 -3.0189 4.0010 6.8894 0.8304 3.8263 1.2387 10.0096 8.1278" Properties=species:S:1:pos:R:3 pbc="T T T"
Na 6.3174 5.6846 10.3961
Na -0.1501 5.9683 11.1774
Na 3.3268 9.4681 9.8833
Na 3.8701 3.8576 9.4733
Na 2.3998 3.9634 6.4818
Na 2.9431 -1.6470 6.0719
Na 3.4864 0.9930 5.1224
Na 1.6602 1.0046 7.8539
Na 4.6097 6.8165 8.1012
Na 2.7835 6.8281 10.8328
Na -0.0475 2.1364 5.5590
Na 6.4200 1.8527 4.7778
Na 4.9017 5.4872 13.1367
Na 1.2781 6.1860 8.4100
Na 1.3683 2.3339 2.8184
Na 4.9918 1.6351 7.5451
Be 5.4686 8.2576 11.4803
Be 0.9397 3.7868 9.5744
Be 5.3303 4.0342 6.3807
Be 0.8013 -0.4366 4.4749
Be 6.6050 9.0029 13.1251
Be -0.4854 2.5726 8.5511
Be -0.3351 -1.1818 2.8301
Be 6.7553 5.2484 7.4041
O 0.2983 -1.9164 4.2119
O 5.2675 4.5950 7.8619
O 1.0024 3.2260 8.0933
O 5.9716 9.7375 11.7433
O 1.4749 6.1807 6.1528
O 5.9250 7.4746 12.7669
O 0.3449 0.3464 3.1882
O 4.7950 1.6404 9.8024
O 4.8297 7.6934 10.2133
O 1.8619 4.8113 10.2313
O 1.4402 0.1277 5.7419
O 4.4080 3.0097 5.7238
O 1.1656 3.9484 4.4751
O 4.9174 -0.4297 6.4852
O 5.1044 3.8727 11.4801
O 1.3526 8.2507 9.4699
```

Space group = No. 14
Energy relative to the lowest polymorph listed for this composition = 0.0 meV/atom
Crystal system = monoclinic

Density functional theory data (GGA-PBE) for an optimized crystal structure of NaBeO3.

Geometry as extended XYZ:
```
5
Lattice="3.5137 0.0000 0.0000 0.0000 3.5137 0.0000 0.0000 0.0000 3.5137" Properties=species:S:1:pos:R:3 pbc="T T T"
Na 1.7569 1.7569 1.7569
O 0.0000 1.7569 0.0000
O 0.0000 0.0000 1.7569
O 1.7569 0.0000 0.0000
Be 0.0000 0.0000 0.0000
```

Space group = No. 221
Crystal system = cubic

Density functional theory data (GGA-PBE) for an optimized crystal structure of NaBeO3.

Geometry as extended XYZ:
```
5
Lattice="-2.8932 -1.6055 2.0689 -1.0094 -2.1611 -3.0886 2.4164 -2.8250 1.1870" Properties=species:S:1:pos:R:3 pbc="T T T"
Na 0.0000 0.0000 0.0000
O -0.5047 -1.0806 -1.5443
O 1.2082 -1.4125 0.5935
O -1.4466 -0.8027 1.0345
Be -0.7431 -3.2958 0.0836
```

Space group = No. 221
Crystal system = cubic

Density functional theory data (GGA-PBE) for an optimized crystal structure of NaBeO2.

Geometry as extended XYZ:
```
4
Lattice="1.5785 0.0000 5.9697 -0.7893 1.3670 5.9697 -0.7893 -1.3670 5.9697" Properties=species:S:1:pos:R:3 pbc="T T T"
Na 0.0000 0.0000 0.0000
O 0.0000 0.0000 15.8503
O 0.0000 0.0000 2.0589
Be 0.0000 0.0000 8.9546
```

Space group = No. 166
Crystal system = trigonal

Density functional theory data (GGA-PBE) for an optimized crystal structure of Na3BeO3.

Geometry as extended XYZ:
```
28
Lattice="-2.6093 -3.6993 3.2113 5.1800 -4.0468 -0.4528 3.0541 4.3393 7.4805" Properties=species:S:1:pos:R:3 pbc="T T T"
Na 5.2347 -3.3022 8.7109
Na 4.2879 -4.6492 4.2565
Na 5.0446 -0.3432 5.5312
Na 3.1142 -2.6756 6.2524
Na 3.2070 -2.9530 2.1731
Na 1.3746 -5.1465 2.7737
Na 4.2502 1.7397 7.4652
Na 2.4178 -0.4538 8.0659
Na 2.5106 -0.7313 3.9865
Na 0.5802 -3.0636 4.7077
Na 1.3369 1.2423 5.9824
Na 0.3901 -0.1046 1.5281
Be 6.2310 -0.9064 8.0526
Be 5.5936 -1.8148 3.2175
Be 0.0312 -1.5921 7.0215
Be -0.6062 -2.5004 2.1864
O 4.1323 -4.5365 7.1640
O 3.6048 -5.2890 2.1936
O 6.3746 0.5892 7.3645
O 4.3621 -2.2686 4.2217
O 4.6285 -1.0068 7.7180
O 1.9710 -4.7790 5.3690
O 3.6538 1.3722 4.8700
O 0.9963 -2.4001 2.5209
O 1.2627 -1.1382 6.0173
O -0.7498 -3.9961 2.8745
O 2.0200 1.8822 8.0454
O 1.4925 1.1297 3.0750
```

Space group = No. 14
Energy relative to the lowest polymorph listed for this composition = 0.0 meV/atom
Crystal system = monoclinic

Density functional theory data (GGA-PBE) for an optimized crystal structure of NaBeO2.

Geometry as extended XYZ:
```
8
Lattice="-0.6598 -2.1261 -3.7834 -0.4719 -3.7690 2.2003 -5.0466 -2.1817 -0.4405" Properties=species:S:1:pos:R:3 pbc="T T T"
Na 0.0000 0.0000 0.0000
Na -3.1361 -3.6277 -2.5077
O -1.6006 -1.9186 -1.4403
O -1.7715 -3.5936 0.0328
O -4.3040 -4.6034 -0.4824
O -4.6804 -6.0380 -2.1572
Be -0.5658 -2.9476 -0.7915
Be -3.0421 -4.4491 0.4842
```

Space group = No. 122
Crystal system = tetragonal

Density functional theory data (GGA-PBE) for an optimized crystal structure of Na5Be2O5.

Geometry as extended XYZ:
```
12
Lattice="2.9262 0.0000 0.0000 -1.4631 5.3279 -1.0384 0.0000 -0.1749 8.1450" Properties=species:S:1:pos:R:3 pbc="T T T"
Na 1.4631 -0.0874 4.0725
Na 1.4631 1.6453 0.3546
Na 1.4631 2.9221 2.4192
Na 0.0000 2.2309 4.6875
Na 0.0000 3.5077 6.7521
Be 0.0000 0.1786 6.5180
Be 1.4631 4.9744 0.5886
O 0.0000 1.0559 2.5715
O 1.4631 1.1017 6.1636
O 0.0000 4.0513 0.9430
O 1.4631 4.0971 4.5352
O 0.0000 0.0000 0.0000
```

Space group = No. 12
Crystal system = monoclinic

Density functional theory data (GGA-PBE) for an optimized crystal structure of Na6BeO4.

Geometry as extended XYZ:
```
22
Lattice="7.3225 0.0000 0.0000 -3.6613 6.3415 0.0000 0.0000 0.0000 5.7680" Properties=species:S:1:pos:R:3 pbc="T T T"
Na -2.0758 5.4261 2.2478
Na -1.4640 3.3824 4.1146
Na 0.0000 1.8308 2.2478
Na 0.0000 5.9182 4.1146
Na 1.4640 3.3824 4.1146
Na 1.5855 0.9154 5.1317
Na 2.0758 5.4261 2.2478
Na 2.1973 2.9591 1.2306
Na 3.6613 0.4233 1.2306
Na 3.6613 4.5107 5.1317
Na 5.1253 2.9591 1.2306
Na 5.7371 0.9154 5.1317
Be 0.0000 4.2277 0.6188
Be 3.6613 2.1138 3.5028
O -1.4390 5.0585 0.0423
O 0.0000 4.2277 2.3203
O 0.0000 2.5661 0.0423
O 1.4390 5.0585 0.0423
O 2.2223 1.2831 2.9263
O 3.6613 2.1138 5.2043
O 3.6613 3.7754 2.9263
O 5.1002 1.2831 2.9263
```

Space group = No. 186
Crystal system = hexagonal

Density functional theory data (GGA-PBE) for an optimized crystal structure of Na2BeO2.

Geometry as extended XYZ:
```
10
Lattice="-1.7862 -3.2871 -2.1791 5.1242 1.7269 -2.5044 -0.9950 -3.8189 6.5763" Properties=species:S:1:pos:R:3 pbc="T T T"
Na 0.0396 -3.6409 1.1588
Na 2.3034 -1.7382 0.7339
Na -0.1678 -2.9417 4.5750
Na 2.5108 -2.4374 -2.6822
Be 2.3548 -3.2244 2.9337
Be -0.0118 -2.1547 -1.0410
O 1.1004 -2.4157 2.7420
O 1.2426 -2.9634 -0.8493
O 3.8448 -0.4107 -2.5320
O -1.5018 -4.9684 4.4247
```

Space group = No. 12
Energy relative to the lowest polymorph listed for this composition = 21.0 meV/atom
Crystal system = monoclinic

Density functional theory data (GGA-PBE) for an optimized crystal structure of NaBeO.

Geometry as extended XYZ:
```
6
Lattice="-2.6944 0.8772 -1.3381 -1.3409 -2.6512 0.9621 -0.4660 4.3310 11.2853" Properties=species:S:1:pos:R:3 pbc="T T T"
Be -1.2395 1.7187 5.5429
Be -3.2619 0.8383 5.3664
O -2.4264 1.8970 4.3799
O -2.0750 0.6600 6.5294
Na -2.4073 3.6499 9.2371
Na -2.0941 -1.0929 1.6722
```

Space group = No. 11
Crystal system = monoclinic

no.,formation energy from raw total energies (eV/atom)
1,-1.54
2,-1.39
3,-1.90
4,-0.90
5,0.86
6,-1.08
7,-1.60
8,-1.73
9,-1.61
10,-1.49
11,-1.88
12,-1.51